No. 1
A plane-wave DFT calculation with GGA-PBEsol was carried out for a relaxed structure of ScAgSe2.

Results
- ΔE_f (raw) (eV/atom) = -1.036
- volume (Å³/f.u.) = 84.06

a b c (Å): 6.756 3.898 6.765
angles (deg): 90.00 109.32 90.00
Space group C2/m (No. 12)
Symmetry-distinct sites (fractional):
Sc  0.000  0.000  0.000 [2 per cell]
Ag  0.000  0.500  0.500 [2 per cell]
Se  0.245  0.500  0.237 [4 per cell]

=====

No. 2
A plane-wave DFT calculation with GGA-PBEsol was carried out for a relaxed structure of ScTiAgSe2.

Results
- ΔE_f (raw) (eV/atom) = -0.248
- volume (Å³/f.u.) = 112.32
- density of states at the Fermi level (states/eV per cell) = 3.1

a b c (Å): 4.785 4.785 4.906
angles (deg): 90.00 90.00 90.00
Space group P4/mmm (No. 123)
Symmetry-distinct sites (fractional):
Sc  0.000  0.000  0.000 [1 per cell]
Ti  0.500  0.500  0.500 [1 per cell]
Ag  0.500  0.500  0.000 [1 per cell]
Se  0.000  0.500  0.500 [2 per cell]

=====

- What is the ΔE_f (raw) in the first record?
  -1.036 eV/atom

=====

What did the second record say?
A plane-wave DFT calculation with GGA-PBEsol was carried out for a relaxed structure of ScTiAgSe2.

Results
- ΔE_f (raw) (eV/atom) = -0.248
- volume (Å³/f.u.) = 112.32
- density of states at the Fermi level (states/eV per cell) = 3.1

a b c (Å): 4.785 4.785 4.906
angles (deg): 90.00 90.00 90.00
Space group P4/mmm (No. 123)
Symmetry-distinct sites (fractional):
Sc  0.000  0.000  0.000 [1 per cell]
Ti  0.500  0.500  0.500 [1 per cell]
Ag  0.500  0.500  0.000 [1 per cell]
Se  0.000  0.500  0.500 [2 per cell]